La3CoBi (PBE-GGA, optimized geometry); V = 305.7 Å³ per cell; energy of formation from the pure elements = -0.49 eV/atom; ρ = 7.4 g cm⁻³; distance to the lowest polymorph of the same formula = 0 meV/atom; crystal system = triclinic
1.0
7.5412 0.0000 0.0000
-0.0166 7.5416 0.0000
-3.7595 -3.7722 5.3750
La Co Bi
6 2 2
direct
0.2331 0.2347 0.4683
0.2579 0.7398 0.0014
0.2589 0.2551 0.0004
0.7411 0.7449 0.9996
0.7421 0.2602 0.9986
0.7669 0.7653 0.5317
0.0000 0.0000 0.0000
0.5000 0.5000 0.0000
0.2500 0.7499 0.4999
0.7500 0.2501 0.5001